Li2LaSi2 | PBEsol | optimized geometry

```
10
Lattice="7.8935 0.0000 0.0000 0.0000 7.8935 0.0000 0.0000 0.0000 2.8344" Properties=species:S:1:pos:R:3 pbc="T T T"
Li 0.9031 3.0437 0.0000
Li 3.0437 6.9904 0.0000
Li 4.8498 0.9031 0.0000
Li 6.9904 4.8498 0.0000
La 0.0000 0.0000 0.0000
La 3.9467 3.9467 0.0000
Si 1.3922 5.3389 1.4172
Si 2.5545 1.3922 1.4172
Si 5.3389 6.5013 1.4172
Si 6.5013 2.5545 1.4172
```

Output
Relative energy among the computed polymorphs = 204 meV/atom
Formation energy from raw total energies = -0.30 eV/atom
SG = P4/mbm